No. 1
The following is a DFT calculation (PBE-GGA) of crystalline BPIrC2 at its relaxed geometry.

Summary:
Distance to the lowest polymorph of the same formula = 63.8 meV per atom
Formation energy = 0.407 eV per atom
Final energy = -37.36 eV for the cell shown
Fermi-level density of states = 0.6 states/eV/f.u.
Space group = Pm, No. 6

```
BPIrC2
1.0
-0.6387 -3.2970 -2.4028
2.8017 -0.4841 -0.0805
-0.1164 -1.4758 4.8263
Ir P C B
1 1 2 1
direct
0.9951 0.0000 0.1240
0.4273 0.5000 0.4311
0.5798 0.0000 0.2861
0.4507 0.0000 0.9496
0.5012 0.5000 0.8284
```

***

No. 2
The following is a DFT calculation (PBE-GGA) of crystalline CaGa2Ni at its relaxed geometry.

Summary:
Formation energy = -0.462 eV per atom
Final energy = -62.74 eV for the cell shown
Fermi-level density of states = 2.2 states/eV/f.u.
Space group = Pnma, No. 62

```
CaGa2Ni
1.0
5.5837 0.0000 0.0000
0.0000 6.8441 0.0000
0.0000 0.0000 7.5521
Ga Ni Ca
8 4 4
direct
0.1022 0.5574 0.8290
0.6022 0.0574 0.6710
0.1022 0.9426 0.8290
0.3978 0.9426 0.3290
0.8978 0.0574 0.1710
0.3978 0.5574 0.3290
0.8978 0.4426 0.1710
0.6022 0.4426 0.6710
0.1298 0.7500 0.1187
0.3702 0.7500 0.6187
0.8702 0.2500 0.8813
0.6298 0.2500 0.3813
0.3847 0.2500 0.0354
0.1153 0.2500 0.5354
0.8847 0.7500 0.4646
0.6153 0.7500 0.9646
```

***

No. 3
The following is a DFT calculation (PBE-GGA) of crystalline LiCeYPt at its relaxed geometry.

Summary:
Formation energy = -0.507 eV per atom
Final energy = -22.38 eV for the cell shown
Fermi-level density of states = 8.5 states/eV/f.u.
Space group = F-43m, No. 216

```
LiCeYPt
1.0
-3.7625 -1.4072 -3.0565
-1.7117 -4.7470 0.1246
-4.5675 -0.9867 1.9088
Li Pt Ce Y
1 1 1 1
direct
0.2500 0.2500 0.2500
0.7500 0.7500 0.7500
0.5000 0.5000 0.5000
0.0000 0.0000 0.0000
```

***

No. 4
The following is a DFT calculation (PBE-GGA) of crystalline Y5ErRu6 at its relaxed geometry.

Summary:
Formation energy = -0.291 eV per atom
Final energy = -96.03 eV for the cell shown
Fermi-level density of states = 13.6 states/eV/f.u.
Space group = Immm, No. 71

```
Y5ErRu6
1.0
-4.3982 1.8193 -0.7528
-2.7874 -5.8106 2.2433
3.5287 4.6140 5.9574
Ru Y Er
6 5 1
direct
0.5000 0.7533 0.0000
0.8345 0.5862 0.6690
0.8345 0.0828 0.6690
0.1655 0.4138 0.3310
0.5000 0.2467 0.0000
0.1655 0.9172 0.3310
0.3336 0.3336 0.6672
0.3334 0.8334 0.6667
0.6666 0.1666 0.3333
0.6664 0.6664 0.3328
0.0000 0.5000 0.0000
0.0000 0.0000 0.0000
```